SrNiP4 after structural relaxation, computed with PBE-GGA.

Lattice parameters (Å, degrees): 5.334 5.334 5.334 60.00 60.00 60.00
Sites, in units of the cell vectors:
Sr1 0.750 0.750 0.750
Ni1 0.000 0.000 0.000
P1 0.918 0.361 0.361
P2 0.361 0.361 0.918
P3 0.361 0.918 0.361
P4 0.361 0.361 0.361

Formation energy from the elements, eV per atom: 0.20
Volume, Å³ per atom: 17.887
Calculated density, g/cm³: 4.2